(1)
First-principles (GGA-PBE) data for a relaxed NpBi2HO6 crystal, as listed in Alexandria.

## Properties
As for the uncorrected energy: -7.050 eV per atom. As for the symmetry: P2_1/c. As for the density of states at the Fermi level: 0.656 states/eV per atom.

Lattice parameters (Å, degrees): 6.2883 4.2913 10.7299 90.00 83.73 90.00
Closest atoms and distances in Å follow each position.
Element x y z (fractional)
Bi  0.9707  0.0247  0.6753  3 O 2.20-2.27
Bi  0.5293  0.5247  0.8247  3 O 2.20-2.27
Bi  0.4707  0.4753  0.1753  3 O 2.20-2.27
Bi  0.0293  0.9753  0.3247  3 O 2.20-2.27
O  0.1243  0.2743  0.4752  1 H 1.25
O  0.3302  0.7193  0.6048  1 Np 1.90
O  0.8745  0.6412  0.8155  2 Bi 2.22-2.27, 1 Np 2.29
O  0.6243  0.2257  0.9752  1 H 1.25
O  0.6698  0.2807  0.3952  1 Np 1.90
O  0.1255  0.3588  0.1845  2 Bi 2.22-2.27, 1 Np 2.29
O  0.3757  0.7743  0.0248  1 H 1.25
O  0.8302  0.7807  0.1048  1 Np 1.90
O  0.1698  0.2193  0.8952  1 Np 1.90
O  0.6255  0.1412  0.6845  2 Bi 2.22-2.27, 1 Np 2.29
O  0.3745  0.8588  0.3155  2 Bi 2.22-2.27, 1 Np 2.29
O  0.8757  0.7257  0.5248  1 H 1.25
Np  0.0000  0.5000  0.0000  2 O 1.90
Np  0.5000  0.0000  0.5000  2 O 1.90
H  0.0000  0.5000  0.5000  2 O 1.25
H  0.5000  0.0000  0.0000  2 O 1.25

=====

(2)
First-principles (GGA-PBE) data for a relaxed NpBiHO6 crystal, as listed in Alexandria.

## Properties
As for the uncorrected energy: -6.855 eV per atom. As for the symmetry: P-31c. As for the density of states at the Fermi level: 0.243 states/eV per atom.

Lattice parameters (Å, degrees): 5.0814 5.0814 10.1047 90.00 90.00 120.00
Closest atoms and distances in Å follow each position.
Element x y z (fractional)
Bi  0.0000  0.0000  0.5000  6 O 2.28
Bi  0.0000  0.0000  0.0000  6 O 2.28
O  0.6474  0.6408  0.6372  1 H 1.98, 1 Np 2.02
O  0.0067  0.3592  0.1372  1 H 1.98, 1 Np 2.02
O  0.3526  0.9933  0.1372  1 H 1.98, 1 Np 2.02
O  0.6408  0.6474  0.1372  1 H 1.98, 1 Np 2.02
O  0.9933  0.3526  0.6372  1 H 1.98, 1 Np 2.02
O  0.3592  0.3526  0.8628  1 H 1.98, 1 Np 2.02
O  0.0067  0.6474  0.3628  1 H 1.98, 1 Np 2.02
O  0.9933  0.6408  0.8628  1 H 1.98, 1 Np 2.02
O  0.3592  0.0067  0.6372  1 H 1.98, 1 Np 2.02
O  0.6474  0.0067  0.8628  1 H 1.98, 1 Np 2.02
O  0.6408  0.9933  0.3628  1 H 1.98, 1 Np 2.02
O  0.3526  0.3592  0.3628  1 H 1.98, 1 Np 2.02
H  0.6667  0.3333  0.7500  6 O 1.98
H  0.3333  0.6667  0.2500  6 O 1.98
Np  0.6667  0.3333  0.2500  6 O 2.02
Np  0.3333  0.6667  0.7500  6 O 2.02

=====

(3)
First-principles (GGA-PBE) data for a relaxed NpBi2HO8 crystal, as listed in Alexandria.

## Properties
As for the uncorrected energy: -6.742 eV per atom. As for the symmetry: P-1. As for the density of states at the Fermi level: 0.253 states/eV per atom.

Lattice parameters (Å, degrees): 4.1124 5.8975 9.1762 104.01 76.54 122.17
Closest atoms and distances in Å follow each position.
Element x y z (fractional)
H  0.0000  0.0000  0.5000  2 O 1.21
O  0.0839  0.1616  0.8241  1 Np 1.94
O  0.0199  0.3622  0.2350  2 Bi 2.17-2.20
O  0.9161  0.8384  0.1759  1 Np 1.94
O  0.9801  0.6378  0.7650  2 Bi 2.17-2.20
O  0.4782  0.7590  0.9751  1 Np 1.87
O  0.7297  0.7695  0.5005  1 H 1.21
O  0.5218  0.2410  0.0249  1 Np 1.87
O  0.2703  0.2305  0.4995  1 H 1.21
Np  0.0000  0.0000  0.0000  4 O 1.87-1.94
Bi  0.4318  0.5338  0.6979  5 O 2.16-2.31
Bi  0.5682  0.4662  0.3021  5 O 2.16-2.31

=====

(4)
First-principles (GGA-PBE) data for a relaxed NpBiH8Rh4 crystal, as listed in Alexandria.

## Properties
As for the uncorrected energy: -5.194 eV per atom. As for the symmetry: R3m. As for the density of states at the Fermi level: 1.114 states/eV per atom.

Lattice parameters (Å, degrees): 5.6140 5.6140 6.1846 63.01 63.01 60.00
Closest atoms and distances in Å follow each position.
Element x y z (fractional)
Rh  0.9959  0.9959  0.4977  6 H 1.77-1.98
Rh  0.9959  0.5106  0.4977  6 H 1.77-1.98
Rh  0.5106  0.9959  0.4977  6 H 1.77-1.98
Rh  0.6376  0.6376  0.0873  4 H 1.91-1.94
H  0.2847  0.7983  0.6323  2 Rh 1.77
H  0.2500  0.7165  0.3169  3 Rh 1.91-1.94
H  0.7583  0.7583  0.7251  4 Rh 1.91-1.98
H  0.7983  0.2847  0.6323  2 Rh 1.77
H  0.2048  0.2048  0.3856  3 Rh 1.77
H  0.2847  0.2847  0.6323  2 Rh 1.77
H  0.7165  0.7165  0.3169  3 Rh 1.91-1.94
H  0.7165  0.2500  0.3169  3 Rh 1.91-1.94
Bi  0.3408  0.3408  0.9775  1 H 2.15
Np  0.0053  0.0053  0.9841  6 H 2.43-2.46

=====

(5)
First-principles (GGA-PBE) data for a relaxed Np2BiSbH2 crystal, as listed in Alexandria.

## Properties
As for the uncorrected energy: -6.722 eV per atom. As for the symmetry: P-3m1. As for the density of states at the Fermi level: 2.949 states/eV per atom.

Lattice parameters (Å, degrees): 4.7244 4.7244 6.3980 90.00 90.00 120.00
Closest atoms and distances in Å follow each position.
Element x y z (fractional)
Np  0.3333  0.6667  0.7039  1 H 2.25
Np  0.6667  0.3333  0.2961  1 H 2.25
Bi  0.0000  0.0000  0.0000  2 Sb 3.20, 6 Np 3.32, 6 H 3.54
H  0.3333  0.6667  0.3526  1 Np 2.25
H  0.6667  0.3333  0.6474  1 Np 2.25
Sb  0.0000  0.0000  0.5000  6 H 2.89, 6 Np 3.02, 2 Bi 3.20

=====

(6)
First-principles (GGA-PBE) data for a relaxed BiH2O crystal, as listed in Alexandria.

## Properties
The polymorph energy (0 for the lowest one) comes out at 0 meV/atom. As for the symmetry: I4_1/amd. As for the density of states at the Fermi level: 0.127 states/eV per atom.

Lattice parameters (Å, degrees): 3.3869 3.3869 9.1505 79.34 79.34 90.00
Closest atoms and distances in Å follow each position.
Element x y z (fractional)
Bi  0.7500  0.2500  0.5000  4 H 2.36, 4 O 2.39
Bi  0.0000  0.0000  0.0000  4 H 2.36, 4 O 2.39
H  0.3750  0.1249  0.7500  2 H 1.69
H  0.8750  0.1251  0.7500  2 H 1.69
H  0.8751  0.1250  0.2500  2 H 1.69
H  0.8749  0.6250  0.2500  2 H 1.69
O  0.2500  0.7500  0.5000  4 Bi 2.39
O  0.5000  0.5000  0.0000  4 Bi 2.39